DFT (PBE-GGA) results for a geometry-optimized BaTmCo structure.

Summary:
As for the theoretical density: 7.0 g cm⁻³. Its spin magnetization is 0.0 μB/cell. The value obtained for the calculated total energy is -12.3 eV/f.u.

Unit cell a=7.0249 b=7.0249 c=7.0249 alpha=90.00 beta=90.00 gamma=90.00
Last column: nearest neighbours and their distance in Å.
Positions (direct):
Ba1 0.0000 0.0000 0.0000  4 Co 3.04
Ba2 0.0000 0.5000 0.5000  4 Co 3.04
Ba3 0.5000 0.0000 0.5000  4 Co 3.04
Ba4 0.5000 0.5000 0.0000  4 Co 3.04
Tm1 0.0000 0.0000 0.5000  4 Co 3.04
Tm2 0.0000 0.5000 0.0000  4 Co 3.04
Tm3 0.5000 0.0000 0.0000  4 Co 3.04
Tm4 0.5000 0.5000 0.5000  4 Co 3.04
Co1 0.2500 0.2500 0.2500  4 Ba 3.04, 4 Tm 3.04
Co2 0.2500 0.7500 0.7500  4 Ba 3.04, 4 Tm 3.04
Co3 0.7500 0.2500 0.7500  4 Ba 3.04, 4 Tm 3.04
Co4 0.7500 0.7500 0.2500  4 Ba 3.04, 4 Tm 3.04



DFT (PBE-GGA) results for a geometry-optimized BaTmCo structure.

Summary:
As for the theoretical density: 7.2 g cm⁻³. Its spin magnetization is 1.4 μB/cell. The value obtained for the calculated total energy is -9.6 eV/f.u.

Unit cell a=6.9548 b=6.9548 c=6.9548 alpha=90.00 beta=90.00 gamma=90.00
Last column: nearest neighbours and their distance in Å.
Positions (direct):
Ba1 0.0000 0.0000 0.0000  4 Co 3.01, 4 Tm 3.01
Ba2 0.0000 0.5000 0.5000  4 Tm 3.01, 4 Co 3.01
Ba3 0.5000 0.0000 0.5000  4 Tm 3.01, 4 Co 3.01
Ba4 0.5000 0.5000 0.0000  4 Tm 3.01, 4 Co 3.01
Tm1 0.2500 0.2500 0.2500  4 Ba 3.01
Tm2 0.2500 0.7500 0.7500  4 Ba 3.01
Tm3 0.7500 0.2500 0.7500  4 Ba 3.01
Tm4 0.7500 0.7500 0.2500  4 Ba 3.01
Co1 0.2500 0.2500 0.7500  4 Ba 3.01
Co2 0.2500 0.7500 0.2500  4 Ba 3.01
Co3 0.7500 0.2500 0.2500  4 Ba 3.01
Co4 0.7500 0.7500 0.7500  4 Ba 3.01



DFT (PBE-GGA) results for a geometry-optimized BaUCo structure.

Summary:
As for the theoretical density: 9.0 g cm⁻³. Its spin magnetization is 10.2 μB/cell. The value obtained for the calculated total energy is -17.4 eV/f.u.

Unit cell a=6.8467 b=6.8467 c=6.8467 alpha=90.00 beta=90.00 gamma=90.00
Last column: nearest neighbours and their distance in Å.
Positions (direct):
Ba1 0.0000 0.0000 0.0000  4 Co 2.96
Ba2 0.0000 0.5000 0.5000  4 Co 2.96
Ba3 0.5000 0.0000 0.5000  4 Co 2.96
Ba4 0.5000 0.5000 0.0000  4 Co 2.96
U1 0.0000 0.0000 0.5000  4 Co 2.96
U2 0.0000 0.5000 0.0000  4 Co 2.96
U3 0.5000 0.0000 0.0000  4 Co 2.96
U4 0.5000 0.5000 0.5000  4 Co 2.96
Co1 0.2500 0.2500 0.2500  4 Ba 2.96, 4 U 2.96
Co2 0.2500 0.7500 0.7500  4 Ba 2.96, 4 U 2.96
Co3 0.7500 0.2500 0.7500  4 Ba 2.96, 4 U 2.96
Co4 0.7500 0.7500 0.2500  4 Ba 2.96, 4 U 2.96



DFT (PBE-GGA) results for a geometry-optimized Ba2CoW structure.

Summary:
As for the theoretical density: 8.6 g cm⁻³. Its spin magnetization is 4.8 μB/cell. The value obtained for the calculated total energy is -17.7 eV/f.u.

Unit cell a=7.3768 b=7.3768 c=7.3768 alpha=90.00 beta=90.00 gamma=90.00
Last column: nearest neighbours and their distance in Å.
Positions (direct):
Ba1 0.0000 0.0000 0.0000  4 Ba 3.19, 4 Co 3.19
Ba2 0.0000 0.5000 0.5000  4 Ba 3.19, 4 Co 3.19
Ba3 0.2500 0.2500 0.2500  4 Ba 3.19, 4 W 3.19
Ba4 0.2500 0.7500 0.7500  4 W 3.19, 4 Ba 3.19
Ba5 0.5000 0.0000 0.5000  4 Ba 3.19, 4 Co 3.19
Ba6 0.5000 0.5000 0.0000  4 Ba 3.19, 4 Co 3.19
Ba7 0.7500 0.2500 0.7500  4 W 3.19, 4 Ba 3.19
Ba8 0.7500 0.7500 0.2500  4 W 3.19, 4 Ba 3.19
Co1 0.2500 0.2500 0.7500  4 Ba 3.19, 4 W 3.19
Co2 0.2500 0.7500 0.2500  4 Ba 3.19, 4 W 3.19
Co3 0.7500 0.2500 0.2500  4 Ba 3.19, 4 W 3.19
Co4 0.7500 0.7500 0.7500  4 Ba 3.19, 4 W 3.19
W1 0.0000 0.0000 0.5000  4 Co 3.19, 4 Ba 3.19
W2 0.0000 0.5000 0.0000  4 Co 3.19, 4 Ba 3.19
W3 0.5000 0.0000 0.0000  4 Co 3.19, 4 Ba 3.19
W4 0.5000 0.5000 0.5000  4 Co 3.19, 4 Ba 3.19



DFT (PBE-GGA) results for a geometry-optimized BaY2Co structure.

Summary:
As for the theoretical density: 5.5 g cm⁻³. Its spin magnetization is 0.2 μB/cell. The value obtained for the calculated total energy is -19.3 eV/f.u.

Unit cell a=7.6811 b=7.6811 c=7.6811 alpha=90.00 beta=90.00 gamma=90.00
Last column: nearest neighbours and their distance in Å.
Positions (direct):
Ba1 0.0000 0.0000 0.0000  4 Co 3.33, 4 Y 3.33
Ba2 0.0000 0.5000 0.5000  4 Co 3.33, 4 Y 3.33
Ba3 0.5000 0.0000 0.5000  4 Co 3.33, 4 Y 3.33
Ba4 0.5000 0.5000 0.0000  4 Co 3.33, 4 Y 3.33
Y1 0.0000 0.0000 0.5000  4 Co 3.33, 4 Y 3.33
Y2 0.0000 0.5000 0.0000  4 Co 3.33, 4 Y 3.33
Y3 0.2500 0.2500 0.7500  4 Ba 3.33, 4 Y 3.33
Y4 0.2500 0.7500 0.2500  4 Ba 3.33, 4 Y 3.33
Y5 0.5000 0.0000 0.0000  4 Co 3.33, 4 Y 3.33
Y6 0.5000 0.5000 0.5000  4 Co 3.33, 4 Y 3.33
Y7 0.7500 0.2500 0.2500  4 Ba 3.33, 4 Y 3.33
Y8 0.7500 0.7500 0.7500  4 Ba 3.33, 4 Y 3.33
Co1 0.2500 0.2500 0.2500  4 Ba 3.33, 4 Y 3.33
Co2 0.2500 0.7500 0.7500  4 Ba 3.33, 4 Y 3.33
Co3 0.7500 0.2500 0.7500  4 Ba 3.33, 4 Y 3.33
Co4 0.7500 0.7500 0.2500  4 Ba 3.33, 4 Y 3.33



DFT (PBE-GGA) results for a geometry-optimized BaZnCo structure.

Summary:
As for the theoretical density: 5.5 g cm⁻³. Its spin magnetization is 3.4 μB/cell. The value obtained for the calculated total energy is -8.8 eV/f.u.

Unit cell a=6.7988 b=6.7988 c=6.7988 alpha=90.00 beta=90.00 gamma=90.00
Last column: nearest neighbours and their distance in Å.
Positions (direct):
Ba1 0.0000 0.0000 0.0000  4 Co 2.94
Ba2 0.0000 0.5000 0.5000  4 Co 2.94
Ba3 0.5000 0.0000 0.5000  4 Co 2.94
Ba4 0.5000 0.5000 0.0000  4 Co 2.94
Zn1 0.0000 0.0000 0.5000  4 Co 2.94
Zn2 0.0000 0.5000 0.0000  4 Co 2.94
Zn3 0.5000 0.0000 0.0000  4 Co 2.94
Zn4 0.5000 0.5000 0.5000  4 Co 2.94
Co1 0.2500 0.2500 0.2500  4 Ba 2.94, 4 Zn 2.94
Co2 0.2500 0.7500 0.7500  4 Ba 2.94, 4 Zn 2.94
Co3 0.7500 0.2500 0.7500  4 Ba 2.94, 4 Zn 2.94
Co4 0.7500 0.7500 0.2500  4 Ba 2.94, 4 Zn 2.94



DFT (PBE-GGA) results for a geometry-optimized BaZrCo2 structure.

Summary:
As for the theoretical density: 7.9 g cm⁻³. Its spin magnetization is 0.1 μB/cell. The value obtained for the calculated total energy is -21.2 eV/f.u.

Unit cell a=6.6367 b=6.6367 c=6.6367 alpha=90.00 beta=90.00 gamma=90.00
Last column: nearest neighbours and their distance in Å.
Positions (direct):
Ba1 0.0000 0.0000 0.0000  4 Zr 2.87, 4 Co 2.87
Ba2 0.0000 0.5000 0.5000  4 Co 2.87, 4 Zr 2.87
Ba3 0.5000 0.0000 0.5000  4 Co 2.87, 4 Zr 2.87
Ba4 0.5000 0.5000 0.0000  4 Zr 2.87, 4 Co 2.87
Zr1 0.2500 0.2500 0.2500  4 Ba 2.87, 4 Co 2.87
Zr2 0.2500 0.7500 0.7500  4 Ba 2.87, 4 Co 2.87
Zr3 0.7500 0.2500 0.7500  4 Ba 2.87, 4 Co 2.87
Zr4 0.7500 0.7500 0.2500  4 Ba 2.87, 4 Co 2.87
Co1 0.0000 0.0000 0.5000  4 Zr 2.87, 4 Co 2.87
Co2 0.0000 0.5000 0.0000  4 Zr 2.87, 4 Co 2.87
Co3 0.2500 0.2500 0.7500  4 Ba 2.87, 4 Co 2.87
Co4 0.2500 0.7500 0.2500  4 Ba 2.87, 4 Co 2.87
Co5 0.5000 0.0000 0.0000  4 Zr 2.87, 4 Co 2.87
Co6 0.5000 0.5000 0.5000  4 Zr 2.87, 4 Co 2.87
Co7 0.7500 0.2500 0.2500  4 Ba 2.87, 4 Co 2.87
Co8 0.7500 0.7500 0.7500  4 Ba 2.87, 4 Co 2.87



DFT (PBE-GGA) results for a geometry-optimized Cs2Ba3Cu2Sb2S10 structure.

Summary:
As for the theoretical density: 4.4 g cm⁻³. The value obtained for the calculated total energy is -84.1 eV/f.u.

Unit cell a=8.9848 b=8.9848 c=9.4580 alpha=113.83 beta=113.83 gamma=49.30
Last column: nearest neighbours and their distance in Å.
Positions (direct):
Cs1 0.2092 0.2092 0.4310  9 S 3.51-3.82
Cs2 0.7908 0.7908 0.5690  9 S 3.51-3.82
Ba1 0.3344 0.3344 0.9877  9 S 3.30-3.68, 2 Cu 3.44
Ba2 0.5000 0.5000 0.5000  8 S 3.25-3.27
Ba3 0.6656 0.6656 0.0123  9 S 3.30-3.68, 2 Cu 3.44
Cu1 0.2076 0.7924 0.0000  4 S 2.29-2.41
Cu2 0.7924 0.2076 0.0000  4 S 2.29-2.41
Sb1 0.0674 0.0674 0.7231  3 S 2.45-2.46
Sb2 0.9326 0.9326 0.2769  3 S 2.45-2.46
S1 0.0775 0.5871 0.2726  1 Sb 2.45
S2 0.1146 0.1146 0.0086  2 Cu 2.41, 1 Sb 2.46
S3 0.2938 0.5821 0.7642  1 S 2.16, 1 Cu 2.29
S4 0.4129 0.9225 0.7274  1 Sb 2.45
S5 0.4179 0.7062 0.2358  1 S 2.16, 1 Cu 2.29
S6 0.5821 0.2938 0.7642  1 S 2.16, 1 Cu 2.29
S7 0.5871 0.0775 0.2726  1 Sb 2.45
S8 0.7062 0.4179 0.2358  1 S 2.16, 1 Cu 2.29
S9 0.8854 0.8854 0.9914  2 Cu 2.41, 1 Sb 2.46
S10 0.9225 0.4129 0.7274  1 Sb 2.45



DFT (PBE-GGA) results for a geometry-optimized CsBaDy structure.

Summary:
As for the theoretical density: 3.4 g cm⁻³. Its spin magnetization is 9.2 μB/cell. The value obtained for the calculated total energy is -4.6 eV/f.u.

Unit cell a=9.4268 b=9.4268 c=9.4268 alpha=90.00 beta=90.00 gamma=90.00
Last column: nearest neighbours and their distance in Å.
Positions (direct):
Cs1 0.0000 0.0000 0.0000  4 Dy 4.08
Cs2 0.0000 0.5000 0.5000  4 Dy 4.08
Cs3 0.5000 0.0000 0.5000  4 Dy 4.08
Cs4 0.5000 0.5000 0.0000  4 Dy 4.08
Ba1 0.0000 0.0000 0.5000  4 Dy 4.08
Ba2 0.0000 0.5000 0.0000  4 Dy 4.08
Ba3 0.5000 0.0000 0.0000  4 Dy 4.08
Ba4 0.5000 0.5000 0.5000  4 Dy 4.08
Dy1 0.2500 0.2500 0.7500  4 Cs 4.08, 4 Ba 4.08
Dy2 0.2500 0.7500 0.2500  4 Cs 4.08, 4 Ba 4.08
Dy3 0.7500 0.2500 0.2500  4 Cs 4.08, 4 Ba 4.08
Dy4 0.7500 0.7500 0.7500  4 Cs 4.08, 4 Ba 4.08



DFT (PBE-GGA) results for a geometry-optimized CsBaDy structure.

Summary:
As for the theoretical density: 4.4 g cm⁻³. Its spin magnetization is 0.1 μB/cell. The value obtained for the calculated total energy is -4.3 eV/f.u.

Unit cell a=8.6746 b=8.6746 c=8.6746 alpha=90.00 beta=90.00 gamma=90.00
Last column: nearest neighbours and their distance in Å.
Positions (direct):
Cs1 0.0000 0.0000 0.0000  4 Ba 3.76, 4 Dy 3.76
Cs2 0.0000 0.5000 0.5000  4 Ba 3.76, 4 Dy 3.76
Cs3 0.5000 0.0000 0.5000  4 Ba 3.76, 4 Dy 3.76
Cs4 0.5000 0.5000 0.0000  4 Ba 3.76, 4 Dy 3.76
Ba1 0.2500 0.2500 0.2500  4 Cs 3.76
Ba2 0.2500 0.7500 0.7500  4 Cs 3.76
Ba3 0.7500 0.2500 0.7500  4 Cs 3.76
Ba4 0.7500 0.7500 0.2500  4 Cs 3.76
Dy1 0.2500 0.2500 0.7500  4 Cs 3.76
Dy2 0.2500 0.7500 0.2500  4 Cs 3.76
Dy3 0.7500 0.2500 0.2500  4 Cs 3.76
Dy4 0.7500 0.7500 0.7500  4 Cs 3.76



DFT (PBE-GGA) results for a geometry-optimized CsBaEr structure.

Summary:
As for the theoretical density: 4.4 g cm⁻³. Its spin magnetization is 0.1 μB/cell. The value obtained for the calculated total energy is -4.3 eV/f.u.

Unit cell a=8.6808 b=8.6808 c=8.6808 alpha=90.00 beta=90.00 gamma=90.00
Last column: nearest neighbours and their distance in Å.
Positions (direct):
Cs1 0.0000 0.0000 0.0000  4 Ba 3.76, 4 Er 3.76
Cs2 0.0000 0.5000 0.5000  4 Ba 3.76, 4 Er 3.76
Cs3 0.5000 0.0000 0.5000  4 Ba 3.76, 4 Er 3.76
Cs4 0.5000 0.5000 0.0000  4 Ba 3.76, 4 Er 3.76
Ba1 0.2500 0.2500 0.2500  4 Cs 3.76
Ba2 0.2500 0.7500 0.7500  4 Cs 3.76
Ba3 0.7500 0.2500 0.7500  4 Cs 3.76
Ba4 0.7500 0.7500 0.2500  4 Cs 3.76
Er1 0.2500 0.2500 0.7500  4 Cs 3.76
Er2 0.2500 0.7500 0.2500  4 Cs 3.76
Er3 0.7500 0.2500 0.2500  4 Cs 3.76
Er4 0.7500 0.7500 0.7500  4 Cs 3.76



DFT (PBE-GGA) results for a geometry-optimized Cs2BaZrF6 structure.

Summary:
As for the theoretical density: 4.9 g cm⁻³. Its spin magnetization is 3.4 μB/cell. The value obtained for the calculated total energy is -52.6 eV/f.u.

Unit cell a=11.0972 b=11.0972 c=11.0972 alpha=35.46 beta=35.46 gamma=35.46
Last column: nearest neighbours and their distance in Å.
Positions (direct):
Cs1 0.1323 0.1323 0.1323  6 F 2.89-3.03
Cs2 0.2641 0.2641 0.2641  3 F 2.86
Cs3 0.7359 0.7359 0.7359  3 F 2.86
Cs4 0.8677 0.8677 0.8677  6 F 2.89-3.03
Ba1 0.3889 0.3889 0.3889  3 F 2.43
Ba2 0.6111 0.6111 0.6111  3 F 2.43
Zr1 0.0000 0.0000 0.0000  6 F 2.21
Zr2 0.5000 0.5000 0.5000  6 F 2.11
F1 0.1584 0.6174 0.6174  1 Zr 2.11
F2 0.1787 0.1787 0.8006  1 Zr 2.21, 1 Ba 2.43
F3 0.1787 0.8006 0.1787  1 Zr 2.21, 1 Ba 2.43
F4 0.1994 0.8213 0.8213  1 Zr 2.21, 1 Ba 2.43
F5 0.3826 0.3826 0.8416  1 Zr 2.11
F6 0.3826 0.8416 0.3826  1 Zr 2.11
F7 0.6174 0.1584 0.6174  1 Zr 2.11
F8 0.6174 0.6174 0.1584  1 Zr 2.11
F9 0.8006 0.1787 0.1787  1 Zr 2.21, 1 Ba 2.43
F10 0.8213 0.1994 0.8213  1 Zr 2.21, 1 Ba 2.43
F11 0.8213 0.8213 0.1994  1 Zr 2.21, 1 Ba 2.43
F12 0.8416 0.3826 0.3826  1 Zr 2.11



What is the calculated total energy in the eleventh record?
-4.3 eV/f.u.



theoretical density of number 11 (CsBaEr)?
4.4 g cm⁻³